Compound: LaAgTe3
Source: the Alexandria database
Functional: PBE-GGA
Structure: optimized geometry

The structure belongs to space group Pm-3m (No. 221); the cell edges are 6.142, 6.142 and 6.142 Å and the angles 90.00°, 90.00° and 90.00°. The asymmetric unit holds La at (0.000, 0.000, 0.000), Ag at (0.500, 0.500, 0.500) and Te at (0.000, 0.000, 0.500).

As for the mass density: 4.51 Mg/m³. The density of states at the Fermi level comes out at 8.34 states/eV/f.u. Its total DFT energy (no corrections) is -17.06 eV for the cell shown. As for the magnetic moment: 0.00 μB per formula unit. The excess energy over the best structure of this formula in the dataset is 406 meV per atom.

***

Compound: Tb3Er5H12
Source: the Alexandria database
Functional: PBE-GGA
Structure: optimized geometry

The structure belongs to space group Ia-3d (No. 230); the cell edges are 12.976, 12.976 and 12.976 Å and the angles 90.00°, 90.00° and 90.00°. The asymmetric unit holds Tb at (0.000, 0.250, 0.125), Er at (0.000, 0.000, 0.000), Er at (0.000, 0.250, 0.375) and H at (0.003, 0.067, 0.655).

As for the mass density: 8.06 Mg/m³. The density of states at the Fermi level comes out at 11.37 states/eV/f.u. Its total DFT energy (no corrections) is -690.91 eV for the cell shown. As for the magnetic moment: 0.00 μB per formula unit.

***

Compound: La3PIr2
Source: the Alexandria database
Functional: PBE-GGA
Structure: optimized geometry

The structure belongs to space group P6/mmm (No. 191); the cell edges are 7.4705, 7.4705 and 3.7726 Å and the angles 90.00°, 90.00° and 120.00°. The asymmetric unit holds La at (0.0000, 0.5000, 0.0000), P at (0.0000, 0.0000, 0.5000) and Ir at (0.3333, 0.6667, 0.5000).

As for the mass density: 7.58 Mg/m³. The density of states at the Fermi level comes out at 2.04 states/eV/f.u. Its total DFT energy (no corrections) is -39.35 eV for the cell shown. As for the magnetic moment: 0.00 μB per formula unit.

***

Compound: PmThRhI
Source: the Alexandria database
Functional: PBE-GGA
Structure: optimized geometry

The structure belongs to space group R3m (No. 160, hexagonal axes); the cell edges are 4.1819, 4.1819 and 24.6524 Å and the angles 90.00°, 90.00° and 120.00°. The asymmetric unit holds Pm at (0.0000, 0.0000, 0.0000), Th at (0.0000, 0.0000, 0.2126), Rh at (0.0000, 0.0000, 0.6015) and I at (0.0000, 0.0000, 0.7720).

As for the mass density: 8.10 Mg/m³. The density of states at the Fermi level comes out at 3.13 states/eV/f.u. Its total DFT energy (no corrections) is -73.89 eV for the cell shown. As for the magnetic moment: 0.00 μB per formula unit.